## Nd2MgSi3Au4 (GGA-PBE)

Data for a relaxed Nd2MgSi3Au4 crystal.

```
data_Nd2MgSi3Au4
_cell_length_a 4.309
_cell_length_b 4.309
_cell_length_c 10.811
_cell_angle_alpha 90.00
_cell_angle_beta 90.00
_cell_angle_gamma 90.00
_symmetry_space_group_name_H-M 'P 1'
_symmetry_Int_Tables_number 1
_symmetry_space_group_name_Hall 'P 1'
loop_
_atom_site_label
_atom_site_type_symbol
_atom_site_fract_x
_atom_site_fract_y
_atom_site_fract_z
Nd1 Nd 0.500 0.000 0.234
Nd2 Nd 0.000 0.500 0.766
Mg1 Mg 0.500 0.500 0.500
Si1 Si 0.000 0.000 0.500
Si2 Si 0.500 0.000 0.865
Si3 Si 0.000 0.500 0.135
Au1 Au 0.500 0.500 0.000
Au2 Au 0.000 0.000 0.000
Au3 Au 0.500 0.000 0.640
Au4 Au 0.000 0.500 0.360
```

Volume: 200.7 Å³ per cell
E_form (uncorrected): -0.637 eV/atom



## Be2GaAu2 (GGA-PBE)

Data for a relaxed Be2GaAu2 crystal.

```
data_Be2GaAu2
_cell_length_a 7.112
_cell_length_b 7.112
_cell_length_c 2.827
_cell_angle_alpha 90.00
_cell_angle_beta 90.00
_cell_angle_gamma 90.00
_symmetry_space_group_name_H-M 'P 1'
_symmetry_Int_Tables_number 1
_symmetry_space_group_name_Hall 'P 1'
loop_
_atom_site_label
_atom_site_type_symbol
_atom_site_fract_x
_atom_site_fract_y
_atom_site_fract_z
Be1 Be 0.379 0.879 0.000
Be2 Be 0.879 0.621 0.000
Be3 Be 0.621 0.121 0.000
Be4 Be 0.121 0.379 0.000
Au1 Au 0.169 0.669 0.500
Au2 Au 0.669 0.831 0.500
Au3 Au 0.831 0.331 0.500
Au4 Au 0.331 0.169 0.500
Ga1 Ga 0.000 0.000 0.000
Ga2 Ga 0.500 0.500 0.000
```

Volume: 143.0 Å³ per cell
Excess energy over the best structure of this formula in the dataset: 5 meV/atom
Formation enthalpy at 0 K: -0.021 eV per atom



## Ba4Sb2Br3 (GGA-PBE)

Data for a relaxed Ba4Sb2Br3 crystal.

```
data_Ba4Sb2Br3
_cell_length_a 4.941
_cell_length_b 4.941
_cell_length_c 19.463
_cell_angle_alpha 90.04
_cell_angle_beta 89.96
_cell_angle_gamma 120.02
_symmetry_space_group_name_H-M 'P 1'
_symmetry_Int_Tables_number 1
_symmetry_space_group_name_Hall 'P 1'
loop_
_atom_site_label
_atom_site_type_symbol
_atom_site_fract_x
_atom_site_fract_y
_atom_site_fract_z
Ba1 Ba 0.334 0.666 0.887
Ba2 Ba 0.000 0.000 0.325
Ba3 Ba 0.000 0.000 0.675
Ba4 Ba 0.666 0.334 0.113
Sb1 Sb 0.667 0.333 0.790
Sb2 Sb 0.333 0.667 0.210
Br1 Br 0.666 0.334 0.404
Br2 Br 0.000 0.000 0.000
Br3 Br 0.334 0.666 0.596
```

Volume: 411.4 Å³ per cell
E_form (uncorrected): -1.525 eV/atom



## Zr2GaTe6 (GGA-PBE)

Data for a relaxed Zr2GaTe6 crystal.

```
data_Zr2GaTe6
_cell_length_a 6.885
_cell_length_b 6.885
_cell_length_c 12.427
_cell_angle_alpha 90.00
_cell_angle_beta 90.00
_cell_angle_gamma 90.00
_symmetry_space_group_name_H-M 'P 1'
_symmetry_Int_Tables_number 1
_symmetry_space_group_name_Hall 'P 1'
loop_
_atom_site_label
_atom_site_type_symbol
_atom_site_fract_x
_atom_site_fract_y
_atom_site_fract_z
Zr1 Zr 0.500 0.500 0.344
Zr2 Zr 0.500 0.500 0.656
Zr3 Zr 0.000 0.000 0.156
Zr4 Zr 0.000 0.000 0.844
Ga1 Ga 0.500 0.500 0.000
Ga2 Ga 0.000 0.000 0.500
Te1 Te 0.698 0.698 0.171
Te2 Te 0.698 0.698 0.829
Te3 Te 0.709 0.709 0.500
Te4 Te 0.791 0.209 0.000
Te5 Te 0.802 0.198 0.329
Te6 Te 0.802 0.198 0.671
Te7 Te 0.198 0.802 0.329
Te8 Te 0.198 0.802 0.671
Te9 Te 0.209 0.791 0.000
Te10 Te 0.291 0.291 0.500
Te11 Te 0.302 0.302 0.171
Te12 Te 0.302 0.302 0.829
```

Volume: 589.1 Å³ per cell
E_form (uncorrected): -0.459 eV/atom



## TiReSbI2 (GGA-PBE)

Data for a relaxed TiReSbI2 crystal.

```
data_TiReSbI2
_cell_length_a 5.540
_cell_length_b 5.540
_cell_length_c 5.094
_cell_angle_alpha 90.00
_cell_angle_beta 90.00
_cell_angle_gamma 90.00
_symmetry_space_group_name_H-M 'P 1'
_symmetry_Int_Tables_number 1
_symmetry_space_group_name_Hall 'P 1'
loop_
_atom_site_label
_atom_site_type_symbol
_atom_site_fract_x
_atom_site_fract_y
_atom_site_fract_z
I1 I 0.000 0.500 0.000
I2 I 0.500 0.000 0.000
Re1 Re 0.000 0.000 0.000
Ti1 Ti 0.500 0.500 0.500
Sb1 Sb 0.000 0.000 0.500
```

Volume: 156.3 Å³ per cell
E_form (uncorrected): 1.116 eV/atom
Excess energy over the best structure of this formula in the dataset: 0 meV/atom



## Pr5Ge2Bi (GGA-PBE)

Data for a relaxed Pr5Ge2Bi crystal.

```
data_Pr5Ge2Bi
_cell_length_a 8.218
_cell_length_b 8.218
_cell_length_c 9.228
_cell_angle_alpha 116.44
_cell_angle_beta 116.44
_cell_angle_gamma 90.00
_symmetry_space_group_name_H-M 'P 1'
_symmetry_Int_Tables_number 1
_symmetry_space_group_name_Hall 'P 1'
loop_
_atom_site_label
_atom_site_type_symbol
_atom_site_fract_x
_atom_site_fract_y
_atom_site_fract_z
Pr1 Pr 0.519 0.702 0.721
Pr2 Pr 0.798 0.981 0.279
Pr3 Pr 0.000 0.000 0.000
Pr4 Pr 0.500 0.500 0.000
Pr5 Pr 0.202 0.019 0.721
Pr6 Pr 0.702 0.202 0.721
Pr7 Pr 0.019 0.519 0.721
Pr8 Pr 0.298 0.798 0.279
Pr9 Pr 0.981 0.481 0.279
Pr10 Pr 0.481 0.298 0.279
Ge1 Ge 0.143 0.357 0.000
Ge2 Ge 0.643 0.143 0.000
Ge3 Ge 0.357 0.857 0.000
Ge4 Ge 0.857 0.643 0.000
Bi1 Bi 0.750 0.750 0.500
Bi2 Bi 0.250 0.250 0.500
```

Volume: 484.1 Å³ per cell
Formation enthalpy at 0 K: -0.723 eV per atom



## AgBS2Cl (GGA-PBE)

Data for a relaxed AgBS2Cl crystal.

```
data_AgBS2Cl
_cell_length_a 3.914
_cell_length_b 3.914
_cell_length_c 7.142
_cell_angle_alpha 90.00
_cell_angle_beta 90.00
_cell_angle_gamma 90.00
_symmetry_space_group_name_H-M 'P 1'
_symmetry_Int_Tables_number 1
_symmetry_space_group_name_Hall 'P 1'
loop_
_atom_site_label
_atom_site_type_symbol
_atom_site_fract_x
_atom_site_fract_y
_atom_site_fract_z
S1 S 0.000 0.500 0.000
S2 S 0.500 0.000 0.000
B1 B 0.000 0.000 0.000
Ag1 Ag 0.500 0.500 0.500
Cl1 Cl 0.000 0.000 0.500
```

Volume: 109.4 Å³ per cell
E_form (uncorrected): 0.461 eV/atom
Excess energy over the best structure of this formula in the dataset: 0 meV/atom



## Ba5Mg2Pb5 (GGA-PBE)

Data for a relaxed Ba5Mg2Pb5 crystal.

```
data_Ba5Mg2Pb5
_cell_length_a 5.290
_cell_length_b 9.544
_cell_length_c 9.899
_cell_angle_alpha 80.28
_cell_angle_beta 74.50
_cell_angle_gamma 73.91
_symmetry_space_group_name_H-M 'P 1'
_symmetry_Int_Tables_number 1
_symmetry_space_group_name_Hall 'P 1'
loop_
_atom_site_label
_atom_site_type_symbol
_atom_site_fract_x
_atom_site_fract_y
_atom_site_fract_z
Ba1 Ba 0.500 0.500 0.500
Ba2 Ba 0.413 0.262 0.911
Ba3 Ba 0.305 0.073 0.318
Ba4 Ba 0.695 0.927 0.682
Ba5 Ba 0.587 0.738 0.089
Mg1 Mg 0.846 0.503 0.806
Mg2 Mg 0.154 0.497 0.194
Pb1 Pb 0.940 0.775 0.346
Pb2 Pb 0.243 0.665 0.848
Pb3 Pb 0.757 0.335 0.152
Pb4 Pb 0.060 0.225 0.654
Pb5 Pb 0.000 0.000 0.000
```

Volume: 460.3 Å³ per cell
Formation enthalpy at 0 K: -0.435 eV per atom



## YBi3H (GGA-PBE)

Data for a relaxed YBi3H crystal.

```
data_YBi3H
_cell_length_a 4.992
_cell_length_b 4.992
_cell_length_c 4.992
_cell_angle_alpha 90.00
_cell_angle_beta 90.00
_cell_angle_gamma 90.00
_symmetry_space_group_name_H-M 'P 1'
_symmetry_Int_Tables_number 1
_symmetry_space_group_name_Hall 'P 1'
loop_
_atom_site_label
_atom_site_type_symbol
_atom_site_fract_x
_atom_site_fract_y
_atom_site_fract_z
Y1 Y 0.500 0.500 0.500
H1 H 0.000 0.000 0.000
Bi1 Bi 0.000 0.500 0.000
Bi2 Bi 0.000 0.000 0.500
Bi3 Bi 0.500 0.000 0.000
```

Volume: 124.4 Å³ per cell
Excess energy over the best structure of this formula in the dataset: 0 meV/atom



## Ac2Sn3PdRh4 (GGA-PBE)

Data for a relaxed Ac2Sn3PdRh4 crystal.

```
data_Ac2Sn3PdRh4
_cell_length_a 4.426
_cell_length_b 4.426
_cell_length_c 11.375
_cell_angle_alpha 90.00
_cell_angle_beta 90.00
_cell_angle_gamma 90.00
_symmetry_space_group_name_H-M 'P 1'
_symmetry_Int_Tables_number 1
_symmetry_space_group_name_Hall 'P 1'
loop_
_atom_site_label
_atom_site_type_symbol
_atom_site_fract_x
_atom_site_fract_y
_atom_site_fract_z
Ac1 Ac 0.500 0.000 0.262
Ac2 Ac 0.000 0.500 0.738
Sn1 Sn 0.000 0.000 0.500
Sn2 Sn 0.500 0.000 0.875
Sn3 Sn 0.000 0.500 0.125
Pd1 Pd 0.500 0.500 0.500
Rh1 Rh 0.500 0.500 0.000
Rh2 Rh 0.000 0.000 0.000
Rh3 Rh 0.500 0.000 0.643
Rh4 Rh 0.000 0.500 0.357
```

Volume: 222.8 Å³ per cell
Formation enthalpy at 0 K: -0.677 eV per atom



## La6RuPt2Cl3 (GGA-PBE)

Data for a relaxed La6RuPt2Cl3 crystal.

```
data_La6RuPt2Cl3
_cell_length_a 4.204
_cell_length_b 9.044
_cell_length_c 10.012
_cell_angle_alpha 108.37
_cell_angle_beta 102.12
_cell_angle_gamma 90.00
_symmetry_space_group_name_H-M 'P 1'
_symmetry_Int_Tables_number 1
_symmetry_space_group_name_Hall 'P 1'
loop_
_atom_site_label
_atom_site_type_symbol
_atom_site_fract_x
_atom_site_fract_y
_atom_site_fract_z
La1 La 0.349 0.901 0.698
La2 La 0.674 0.561 0.348
La3 La 0.651 0.099 0.302
La4 La 0.007 0.218 0.014
La5 La 0.993 0.782 0.986
La6 La 0.326 0.439 0.652
Ru1 Ru 0.500 0.000 0.000
Pt1 Pt 0.832 0.665 0.665
Pt2 Pt 0.168 0.335 0.335
Cl1 Cl 0.500 0.500 0.000
Cl2 Cl 0.836 0.172 0.672
Cl3 Cl 0.164 0.828 0.328
```

Volume: 352.3 Å³ per cell
E_form (uncorrected): -1.329 eV/atom



## Pm2Ho3Th3 (GGA-PBE)

Data for a relaxed Pm2Ho3Th3 crystal.

```
data_Pm2Ho3Th3
_cell_length_a 3.642
_cell_length_b 9.093
_cell_length_c 9.093
_cell_angle_alpha 119.99
_cell_angle_beta 90.00
_cell_angle_gamma 90.00
_symmetry_space_group_name_H-M 'P 1'
_symmetry_Int_Tables_number 1
_symmetry_space_group_name_Hall 'P 1'
loop_
_atom_site_label
_atom_site_type_symbol
_atom_site_fract_x
_atom_site_fract_y
_atom_site_fract_z
Pm1 Pm 0.000 0.666 0.333
Pm2 Pm 0.000 0.333 0.666
Ho1 Ho 0.500 0.000 0.395
Ho2 Ho 0.500 0.395 0.000
Ho3 Ho 0.500 0.606 0.606
Th1 Th 0.000 0.000 0.774
Th2 Th 0.000 0.774 0.000
Th3 Th 0.000 0.226 0.226
```

Volume: 260.9 Å³ per cell
Formation enthalpy at 0 K: 0.161 eV per atom



These records have total magnetization values of 0.000 0.000 0.777 0.000 3.159 2.285 0.000 0.000 0.000 0.000 0.000 0.000 μB per formula unit, in the order they appear.